Record 1
This record from the Alexandria database describes a crystal of Cu2As2O7 relaxed with PBEsol. The functional is SCAN.

Output
Symmetry: C2/c (15)
Formation energy without anion corrections: -25.9 kcal/mol of atoms
Energy above the most stable polymorph in this dataset: 0.0 meV/atom

Unit cell a=5.5398 b=5.5398 c=9.8461 alpha=104.57 beta=104.57 gamma=95.71
Last column: nearest neighbours and their distance in Å.
Positions (direct):
Cu (0.2703, 0.1353, 0.9884)  4 O 1.89-1.97
Cu (0.8647, 0.7297, 0.5116)  4 O 1.89-1.97
Cu (0.7297, 0.8647, 0.0116)  4 O 1.89-1.97
Cu (0.1353, 0.2703, 0.4884)  4 O 1.89-1.97
As (0.4981, 0.0256, 0.7059)  4 O 1.68-1.77
As (0.5019, 0.9744, 0.2941)  4 O 1.68-1.77
As (0.9744, 0.5019, 0.7941)  4 O 1.68-1.77
As (0.0256, 0.4981, 0.2059)  4 O 1.68-1.77
O (0.5197, 0.0226, 0.1297)  1 As 1.73
O (0.2059, 0.3779, 0.8844)  1 As 1.68
O (0.4803, 0.9774, 0.8703)  1 As 1.73
O (0.0226, 0.5197, 0.6297)  1 As 1.73
O (0.7961, 0.9583, 0.3949)  1 As 1.71
O (0.3779, 0.2059, 0.3844)  1 As 1.68
O (0.6221, 0.7941, 0.6156)  1 As 1.68
O (0.3397, 0.6603, 0.2500)  2 As 1.77
O (0.0417, 0.2039, 0.1051)  1 As 1.71
O (0.2039, 0.0417, 0.6051)  1 As 1.71
O (0.9774, 0.4803, 0.3703)  1 As 1.73
O (0.7941, 0.6221, 0.1156)  1 As 1.68
O (0.6603, 0.3397, 0.7500)  2 As 1.77
O (0.9583, 0.7961, 0.8949)  1 As 1.71

Record 2
This record from the Alexandria database describes a crystal of ZrNOF2 relaxed with PBEsol. The functional is SCAN.

Output
Symmetry: P4/mmm (123)
Formation energy without anion corrections: -48.0 kcal/mol of atoms
Energy above the most stable polymorph in this dataset: 0.0 meV/atom

Unit cell a=3.9802 b=4.1926 c=4.1926 alpha=90.00 beta=90.00 gamma=90.00
Last column: nearest neighbours and their distance in Å.
Positions (direct):
N (0.5000, 0.5000, 0.5000)  8 F 2.89, 4 O 2.96
O (0.5000, 0.0000, 0.0000)  2 Zr 1.99
Zr (0.0000, 0.0000, 0.0000)  2 O 1.99, 4 F 2.10
F (0.0000, 0.0000, 0.5000)  2 Zr 2.10
F (0.0000, 0.5000, 0.0000)  2 Zr 2.10

Record 3
This record from the Alexandria database describes a crystal of Sr7RuN6 relaxed with PBEsol. The functional is SCAN.

Output
Symmetry: Pbcn (60)
Formation energy without anion corrections: -14.8 kcal/mol of atoms

Unit cell a=6.5895 b=11.7221 c=13.7837 alpha=90.00 beta=90.00 gamma=90.00
Last column: nearest neighbours and their distance in Å.
Positions (direct):
Sr (0.2664, 0.9633, 0.0197)  4 N 2.50-2.78
Sr (0.2336, 0.5367, 0.5197)  4 N 2.50-2.78
Sr (0.2336, 0.4633, 0.9803)  4 N 2.50-2.78
Sr (0.2664, 0.0367, 0.4803)  4 N 2.50-2.78
Sr (0.7336, 0.0367, 0.9803)  4 N 2.50-2.78
Sr (0.7664, 0.4633, 0.4803)  4 N 2.50-2.78
Sr (0.7664, 0.5367, 0.0197)  4 N 2.50-2.78
Sr (0.7336, 0.9633, 0.5197)  4 N 2.50-2.78
Sr (0.1327, 0.7805, 0.3744)  4 N 2.54-2.67
Sr (0.3673, 0.7195, 0.8744)  4 N 2.54-2.67
Sr (0.3673, 0.2805, 0.6256)  4 N 2.54-2.67
Sr (0.1327, 0.2195, 0.1256)  4 N 2.54-2.67
Sr (0.8673, 0.2195, 0.6256)  4 N 2.54-2.67
Sr (0.6327, 0.2805, 0.1256)  4 N 2.54-2.67
Sr (0.6327, 0.7195, 0.3744)  4 N 2.54-2.67
Sr (0.8673, 0.7805, 0.8744)  4 N 2.54-2.67
Sr (0.3922, 0.7103, 0.1215)  3 N 2.48-2.66
Sr (0.1078, 0.7897, 0.6215)  3 N 2.48-2.66
Sr (0.1078, 0.2103, 0.8785)  3 N 2.48-2.66
Sr (0.3922, 0.2897, 0.3785)  3 N 2.48-2.66
Sr (0.6078, 0.2897, 0.8785)  3 N 2.48-2.66
Sr (0.8922, 0.2103, 0.3785)  3 N 2.48-2.66
Sr (0.8922, 0.7897, 0.1215)  3 N 2.48-2.66
Sr (0.6078, 0.7103, 0.6215)  3 N 2.48-2.66
Sr (0.5702, 0.0000, 0.2500)  4 N 2.65-2.74
Sr (0.9298, 0.5000, 0.7500)  4 N 2.65-2.74
Sr (0.4298, 0.0000, 0.7500)  4 N 2.65-2.74
Sr (0.0702, 0.5000, 0.2500)  4 N 2.65-2.74
Ru (0.0781, 0.0000, 0.2500)  4 N 1.90-1.91
Ru (0.4219, 0.5000, 0.7500)  4 N 1.90-1.91
Ru (0.9219, 0.0000, 0.7500)  4 N 1.90-1.91
Ru (0.5781, 0.5000, 0.2500)  4 N 1.90-1.91
N (0.2446, 0.8769, 0.2072)  1 Ru 1.91
N (0.2554, 0.6231, 0.7072)  1 Ru 1.91
N (0.2554, 0.3769, 0.7928)  1 Ru 1.91
N (0.2446, 0.1231, 0.2928)  1 Ru 1.91
N (0.7554, 0.1231, 0.7928)  1 Ru 1.91
N (0.7446, 0.3769, 0.2928)  1 Ru 1.91
N (0.7446, 0.6231, 0.2072)  1 Ru 1.91
N (0.7554, 0.8769, 0.7072)  1 Ru 1.91
N (0.4058, 0.8326, 0.4963)  6 Sr 2.54-2.67
N (0.0942, 0.6674, 0.9963)  6 Sr 2.54-2.67
N (0.0942, 0.3326, 0.5037)  6 Sr 2.54-2.67
N (0.4058, 0.1674, 0.0037)  6 Sr 2.54-2.67
N (0.5942, 0.1674, 0.5037)  6 Sr 2.54-2.67
N (0.9058, 0.3326, 0.0037)  6 Sr 2.54-2.67
N (0.9058, 0.6674, 0.4963)  6 Sr 2.54-2.67
N (0.5942, 0.8326, 0.9963)  6 Sr 2.54-2.67
N (0.4123, 0.5336, 0.3594)  1 Ru 1.90
N (0.0877, 0.9664, 0.8594)  1 Ru 1.90
N (0.0877, 0.0336, 0.6406)  1 Ru 1.90
N (0.4123, 0.4664, 0.1406)  1 Ru 1.90
N (0.5877, 0.4664, 0.6406)  1 Ru 1.90
N (0.9123, 0.0336, 0.1406)  1 Ru 1.90
N (0.9123, 0.9664, 0.3594)  1 Ru 1.90
N (0.5877, 0.5336, 0.8594)  1 Ru 1.90

Q: Which of these has the highest formation energy without anion corrections?
A: Sr7RuN6

Q: Look up the formation energy without anion corrections of the third one.
A: -14.8 kcal/mol of atoms